A plane-wave DFT calculation with GGA-PBE was carried out for Pr9Dy2Ho after structural relaxation.

## Properties
N(E_F), states/eV per cell: 20.1
Crystal system: tetragonal
Uncorrected energy, eV per cell: -56.6
Magnetic moment, μB per cell: 0.00

The structure in POSCAR format:
```
Pr9Dy2Ho
1.0
5.186 0.000 0.000
0.000 5.186 0.000
0.000 0.000 15.559
Pr Dy Ho
9 2 1
Direct
0.500 0.500 0.333
0.500 0.000 0.166
0.000 0.500 0.500
0.500 0.500 0.667
0.000 0.500 0.834
0.500 0.000 0.834
0.000 0.500 0.166
0.500 0.000 0.500
0.500 0.500 0.000
0.000 0.000 0.333
0.000 0.000 0.667
0.000 0.000 0.000
```